! BaCr10O15 PBEsol optimized geometry; values from VASP
! Formation energy without anion corrections: -49.10 eV per formula unit
! Electronic total energy: -8.939 eV per atom
! Space-group type: No. 64
&SYSTEM
  ibrav = 0, nat = 52, ntyp = 3
/
ATOMIC_SPECIES
Ba 137.33 Ba.upf
Cr 52.00 Cr.upf
O 16.00 O.upf
CELL_PARAMETERS angstrom
5.7016 -5.0251 0.0000
5.7016 5.0251 0.0000
0.0000 0.0000 9.2843
ATOMIC_POSITIONS angstrom
Ba 0.0000 0.0000 0.0000
Ba 5.7016 0.0000 4.6422
Cr 1.4496 0.8702 5.9736
Cr 2.7905 1.6406 1.0822
Cr 2.9111 1.6406 3.5600
Cr 5.7016 3.2057 5.8955
Cr 1.4496 -0.8702 3.3108
Cr 4.2520 0.8702 7.9530
Cr 5.7016 1.8194 1.2534
Cr 2.7905 -1.6406 8.2022
Cr 2.9111 -1.6406 5.7243
Cr 4.2520 -0.8702 1.3314
Cr 7.1513 0.8702 7.9530
Cr 8.4921 1.6406 3.5600
Cr 8.6128 1.6406 1.0822
Cr 5.7016 -1.8194 8.0310
Cr 7.1513 -0.8702 1.3314
Cr 9.9536 0.8702 5.9736
Cr 5.7016 -3.2057 3.3888
Cr 8.4921 -1.6406 5.7243
Cr 8.6128 -1.6406 8.2022
Cr 9.9536 -0.8702 3.3108
O 0.0000 0.0000 4.6422
O 1.4633 0.9007 2.3958
O 2.8508 1.8131 6.9633
O 4.2490 2.6539 4.6067
O 4.2490 2.3712 9.2489
O 5.7016 3.4864 2.2194
O 1.4633 -0.9007 6.8885
O 2.7394 0.0000 4.6422
O 2.9622 0.0000 0.0000
O 4.2384 0.9007 2.2463
O 5.7016 1.5387 6.8616
O 7.1542 2.6539 4.6067
O 7.1542 2.3712 9.2489
O 2.8508 -1.8131 2.3211
O 4.2384 -0.9007 7.0380
O 5.7016 0.0000 0.0000
O 7.1649 0.9007 2.2463
O 8.5524 1.8131 6.9633
O 4.2490 -2.3712 0.0354
O 4.2490 -2.6539 4.6776
O 5.7016 -1.5387 2.4228
O 7.1649 -0.9007 7.0380
O 8.4410 0.0000 0.0000
O 8.6639 0.0000 4.6422
O 9.9400 0.9007 2.3958
O 5.7016 -3.4864 7.0649
O 7.1542 -2.3712 0.0354
O 7.1542 -2.6539 4.6776
O 8.5524 -1.8131 2.3211
O 9.9400 -0.9007 6.8885